# 1
# Ca2HfAl, optimized geometry, DFT PBE
# DFT total energy	-3.854	eV/atom
# energy of formation	0.570	eV per atom
data_Ca2HfAl
_space_group_name_H-M_alt 'I -4 2 d'
_space_group_IT_number 122
_space_group_name_Hall 'I -4 2bw'
_cell_length_a 8.5389
_cell_length_b 8.5389
_cell_length_c 6.1313
_cell_angle_alpha 90.00
_cell_angle_beta 90.00
_cell_angle_gamma 90.00
loop_
_atom_site_label
_atom_site_type_symbol
_atom_site_fract_x
_atom_site_fract_y
_atom_site_fract_z
Ca1 Ca 0.2205 0.2500 0.1250
Hf1 Hf 0.0000 0.0000 0.5000
Al1 Al 0.0000 0.0000 0.0000

---

# 2
# CaHfAlIr2, optimized geometry, DFT PBE
# DFT total energy	-7.461	eV/atom
# energy of formation	-0.777	eV per atom
data_CaHfAlIr2
_space_group_name_H-M_alt 'I -4 m 2'
_space_group_IT_number 119
_space_group_name_Hall 'I -4 -2'
_cell_length_a 4.2126
_cell_length_b 4.2126
_cell_length_c 11.4442
_cell_angle_alpha 90.00
_cell_angle_beta 90.00
_cell_angle_gamma 90.00
loop_
_atom_site_label
_atom_site_type_symbol
_atom_site_fract_x
_atom_site_fract_y
_atom_site_fract_z
Ca1 Ca 0.0000 0.0000 0.0000
Hf1 Hf 0.0000 0.5000 0.7500
Al1 Al 0.0000 0.5000 0.2500
Ir1 Ir 0.0000 0.0000 0.3868

---

# 3
# Ca2HfAlPt, optimized geometry, DFT PBE
# DFT total energy	-4.053	eV/atom
# energy of formation	0.695	eV per atom
data_Ca2HfAlPt
_space_group_name_H-M_alt 'P 4/m m m'
_space_group_IT_number 123
_space_group_name_Hall '-P 4 2'
_cell_length_a 5.8597
_cell_length_b 5.8597
_cell_length_c 4.8168
_cell_angle_alpha 90.00
_cell_angle_beta 90.00
_cell_angle_gamma 90.00
loop_
_atom_site_label
_atom_site_type_symbol
_atom_site_fract_x
_atom_site_fract_y
_atom_site_fract_z
Ca1 Ca 0.0000 0.5000 0.0000
Hf1 Hf 0.0000 0.0000 0.0000
Al1 Al 0.5000 0.5000 0.5000
Pt1 Pt 0.0000 0.0000 0.5000

---

# 4
# RbCa2HfAl, optimized geometry, DFT PBE
# DFT total energy	-2.111	eV/atom
# energy of formation	1.622	eV per atom
data_RbCa2HfAl
_space_group_name_H-M_alt 'P 4/m m m'
_space_group_IT_number 123
_space_group_name_Hall '-P 4 2'
_cell_length_a 5.4617
_cell_length_b 5.4617
_cell_length_c 5.3813
_cell_angle_alpha 90.00
_cell_angle_beta 90.00
_cell_angle_gamma 90.00
loop_
_atom_site_label
_atom_site_type_symbol
_atom_site_fract_x
_atom_site_fract_y
_atom_site_fract_z
Rb1 Rb 0.0000 0.0000 0.0000
Ca1 Ca 0.0000 0.5000 0.0000
Hf1 Hf 0.0000 0.0000 0.5000
Al1 Al 0.5000 0.5000 0.5000

---

Q: Among the records above, which one has the lowest DFT total energy?
A: CaHfAlIr2